Entry 1:
! GGA-PBE Ce2DyMgTl4, relaxed; values from VASP
&SYSTEM
  ibrav = 0, nat = 8, ntyp = 4
/
ATOMIC_SPECIES
Ce 140.12 Ce.upf
Dy 162.50 Dy.upf
Mg 24.30 Mg.upf
Tl 204.38 Tl.upf
ATOMIC_POSITIONS crystal
Ce 0.243 0.243 0.243
Ce 0.757 0.757 0.757
Dy 0.000 0.000 0.000
Mg 0.500 0.500 0.500
Tl 0.123 0.123 0.123
Tl 0.374 0.374 0.374
Tl 0.626 0.626 0.626
Tl 0.877 0.877 0.877
CELL_PARAMETERS angstrom
2.666 1.539 9.032
-2.666 1.539 9.032
0.000 -3.079 9.032
! space-group type = No. 166

***

Entry 2:
! GGA-PBE HgGeMo3, relaxed; values from VASP
&SYSTEM
  ibrav = 0, nat = 5, ntyp = 3
/
ATOMIC_SPECIES
Hg 200.59 Hg.upf
Ge 72.64 Ge.upf
Mo 95.94 Mo.upf
ATOMIC_POSITIONS crystal
Hg 0.000 0.000 0.000
Ge 0.500 0.500 0.500
Mo 0.000 0.500 0.500
Mo 0.500 0.000 0.500
Mo 0.500 0.500 0.000
CELL_PARAMETERS angstrom
4.638 0.000 0.000
0.000 4.638 0.000
0.000 0.000 4.638
! energy above the lowest structure with this stoichiometry = 0 meV per atom
! space-group type = No. 221

***

| no. | energy relative to the elements (eV per atom) | total magnetization (Bohr magnetons per cell) |
| --- | --- | --- |
| 1 | -0.251 | 2.0 |
| 2 | 1.312 | 0.0 |